Material: CaPrHo2In4
Method: DFT, PBE
State: relaxed

The structure in POSCAR format:
```
CaPrHo2In4
1.0
2.688 1.552 8.851
-2.688 1.552 8.851
0.000 -3.104 8.851
Ca Pr Ho In
1 1 2 4
Direct
0.000 0.000 0.000
0.500 0.500 0.500
0.252 0.252 0.252
0.748 0.748 0.748
0.124 0.124 0.124
0.374 0.374 0.374
0.626 0.626 0.626
0.876 0.876 0.876
```

Output
Calculated total energy (eV/atom): -3.818
ΔE_f (eV per atom): -0.4568
Space-group type: R-3m, No. 166